Below is SrSm2ThSe4 after structural relaxation, with properties calculated at the PBE level.

Cell: 7.281 4.201 7.415 Å, 90.00 109.09 90.00°
Atoms (fractional coordinates):
1 Sr 0.000 0.000 0.000
2 Sm 0.500 0.000 0.500
3 Sm 0.500 0.500 0.000
4 Th 0.000 0.500 0.500
5 Se 0.255 0.000 0.750
6 Se 0.257 0.500 0.256
7 Se 0.743 0.500 0.744
8 Se 0.745 0.000 0.250

Computed properties:
For the density of states at the Fermi level, the calculation gives 4.6 states/eV/f.u. The total energy is -5.82 eV/atom. As for the volume: 214.3 Å³/cell. The spin magnetization comes out at 0.000 μB per atom.